Entry 1
BiP3C: relaxed, PBE.

Fermi-level density of states = 0.700 states/eV/atom

```
data_BiP3C
_space_group_name_H-M_alt 'P 1'
_space_group_IT_number 1
_space_group_name_Hall 'P 1'
_cell_length_a 4.298
_cell_length_b 4.298
_cell_length_c 4.298
_cell_angle_alpha 90.00
_cell_angle_beta 90.00
_cell_angle_gamma 90.00
loop_
_atom_site_label
_atom_site_type_symbol
_atom_site_fract_x
_atom_site_fract_y
_atom_site_fract_z
Bi1 Bi 0.000 0.000 0.000
P1 P 0.000 0.500 0.500
P2 P 0.500 0.000 0.500
P3 P 0.500 0.500 0.000
C1 C 0.500 0.500 0.500
```

Entry 2
BiP3C: relaxed, PBE.

Fermi-level density of states = 0.865 states/eV/atom

```
data_BiP3C
_space_group_name_H-M_alt 'P 1'
_space_group_IT_number 1
_space_group_name_Hall 'P 1'
_cell_length_a 5.364
_cell_length_b 5.364
_cell_length_c 5.364
_cell_angle_alpha 90.00
_cell_angle_beta 90.00
_cell_angle_gamma 90.00
loop_
_atom_site_label
_atom_site_type_symbol
_atom_site_fract_x
_atom_site_fract_y
_atom_site_fract_z
Bi1 Bi 0.000 0.000 0.000
P1 P 0.000 0.000 0.500
P2 P 0.000 0.500 0.000
P3 P 0.500 0.000 0.000
C1 C 0.500 0.500 0.500
```

Computed energies relative to the best structure, in eV/atom: entry 1 0.000; entry 2 1.678